No. 1
The following is a PBE calculation of an optimized crystal structure of Sb4PbW, from Alexandria.

abc: 6.179 6.179 6.179
angles: 60.00 60.00 60.00
Element x y z (fractional)
1 Sb 0.125 0.125 0.125
2 Sb 0.125 0.125 0.626
3 Sb 0.125 0.626 0.125
4 Sb 0.626 0.125 0.125
5 Pb 0.500 0.500 0.500
6 W 0.750 0.750 0.750

Computed properties:
Energy relative to the elements, uncorrected = 1.063 eV per atom

No. 2
The following is a PBE calculation of an optimized crystal structure of PrYLuCd, from Alexandria.

abc: 5.496 5.496 5.496
angles: 60.00 60.00 60.00
Element x y z (fractional)
1 Pr 0.000 0.000 0.000
2 Y 0.500 0.500 0.500
3 Lu 0.750 0.750 0.750
4 Cd 0.250 0.250 0.250

Computed properties:
Formation energy from the elements = -21 kJ/mol of formula units

No. 3
The following is a PBE calculation of an optimized crystal structure of LiRhSe2, from Alexandria.

abc: 6.403 6.403 6.403
angles: 150.00 147.22 45.03
Element x y z (fractional)
1 Li 0.000 0.000 0.000
2 Rh 0.270 0.770 0.500
3 Se 0.429 0.429 0.000
4 Se 0.686 0.186 0.500

Computed properties:
Energy relative to the elements, uncorrected = -0.435 eV per atom

No. 4
The following is a PBE calculation of an optimized crystal structure of CsCdInAu2, from Alexandria.

abc: 6.978 6.978 6.978
angles: 138.88 138.88 59.55
Element x y z (fractional)
1 Cs 0.000 0.000 0.000
2 Cd 0.250 0.750 0.500
3 In 0.750 0.250 0.500
4 Au 0.381 0.381 0.000
5 Au 0.619 0.619 0.000

Computed properties:
Polymorph energy (0 for the lowest one) = 0.0 meV per atom
Formation energy from the elements = -108 kJ/mol of formula units

No. 5
The following is a PBE calculation of an optimized crystal structure of Tb2RhAu4, from Alexandria.

abc: 5.875 5.875 6.014
angles: 119.19 119.19 89.87
Element x y z (fractional)
1 Tb 0.000 0.500 0.000
2 Tb 0.500 0.000 0.000
3 Rh 0.000 0.000 0.000
4 Au 0.000 0.000 0.500
5 Au 0.000 0.500 0.500
6 Au 0.500 0.000 0.500
7 Au 0.500 0.500 0.500

Computed properties:
Formation energy from the elements = -414 kJ/mol of formula units

No. 6
The following is a PBE calculation of an optimized crystal structure of TlSiSbS4, from Alexandria.

abc: 6.678 6.683 8.778
angles: 90.00 108.09 90.00
Element x y z (fractional)
1 Tl 0.239 0.250 0.440
2 Tl 0.761 0.750 0.560
3 Si 0.263 0.750 0.177
4 Si 0.737 0.250 0.823
5 Sb 0.260 0.250 0.984
6 Sb 0.740 0.750 0.016
7 S 0.069 0.750 0.928
8 S 0.070 0.750 0.324
9 S 0.472 0.002 0.215
10 S 0.472 0.498 0.215
11 S 0.528 0.502 0.785
12 S 0.528 0.998 0.785
13 S 0.930 0.250 0.676
14 S 0.931 0.250 0.072

Computed properties:
Energy relative to the elements, uncorrected = -0.477 eV per atom

The calculation returns the following calculated volume values, one per record and in order: 166.8, 117.4, 70.8, 145.5, 150.4, 372.4 Å³ per cell.